Below is a relaxed GaFeS2N crystal, with properties calculated at the PBE level.

Geometry as POSCAR:
```
GaFeS2N
1.0
-0.0899 4.7605 0.9475
-0.5101 -0.9516 4.7331
3.6497 -0.0090 0.3915
S Fe Ga N
2 1 1 1
direct
0.0000 0.5000 0.0000
0.5000 0.0000 0.0000
0.5000 0.5000 0.5000
0.0000 0.0000 0.0000
0.0000 0.0000 0.5000
```

Results
- formation energy (no corrections) (meV/atom) = 925.9
- size of the total moment (μB per formula unit) = 5.94
- energy relative to the lowest polymorph listed for this composition (meV/atom) = 645